No. 1
Here is an optimized crystal structure of LiZrAs2 from Alexandria via LeMat-Bulk. Energies are from PBE.

a = 3.507 Å, b = 3.507 Å, c = 5.933 Å
α = 90.00°, β = 90.00°, γ = 90.00°
Atoms (fractional coordinates):
Li: 0.000 0.000 0.000
Zr: 0.000 0.000 0.500
As: 0.500 0.500 0.252
As: 0.500 0.500 0.748

## Properties
Formation enthalpy at 0 K (eV per atom): -0.65
Size of the total moment (Bohr magnetons per cell): 0.00
Energy relative to the lowest polymorph listed for this composition (eV per atom): 0.1649
Energy (eV per atom): -5.586


No. 2
Here is an optimized crystal structure of Nd12DyHo5 from Alexandria via LeMat-Bulk. Energies are from PBE.

a = 10.875 Å, b = 5.144 Å, c = 10.895 Å
α = 90.00°, β = 90.23°, γ = 90.00°
Atoms (fractional coordinates):
Nd: 0.002 0.000 0.168
Nd: 0.165 0.500 0.665
Nd: 0.168 0.500 0.002
Nd: 0.331 0.000 0.498
Nd: 0.335 0.000 0.835
Nd: 0.498 0.500 0.332
Nd: 0.502 0.500 0.668
Nd: 0.665 0.000 0.165
Nd: 0.669 0.000 0.502
Nd: 0.832 0.500 0.998
Nd: 0.835 0.500 0.335
Nd: 0.998 0.000 0.832
Dy: 0.500 0.500 0.000
Ho: 0.000 0.000 0.500
Ho: 0.167 0.500 0.333
Ho: 0.333 0.000 0.167
Ho: 0.667 0.000 0.833
Ho: 0.833 0.500 0.667

## Properties
Formation enthalpy at 0 K (eV per atom): 0.02
Size of the total moment (Bohr magnetons per cell): 0.00
Energy (eV per atom): -4.685


No. 3
Here is an optimized crystal structure of SrCrCl2 from Alexandria via LeMat-Bulk. Energies are from PBE.

a = 9.564 Å, b = 9.564 Å, c = 9.564 Å
α = 25.63°, β = 25.63°, γ = 25.63°
Atoms (fractional coordinates):
Sr: 0.000 0.000 0.000
Cr: 0.500 0.500 0.500
Cl: 0.388 0.388 0.388
Cl: 0.612 0.612 0.612

## Properties
Raw formation energy (eV/atom): -0.901
Size of the total moment (Bohr magnetons per cell): 5.32
Energy relative to the lowest polymorph listed for this composition (eV per atom): 0.0173
Energy (eV per atom): -4.651


No. 4
Here is an optimized crystal structure of CuOs2Pt from Alexandria via LeMat-Bulk. Energies are from PBE.

a = 4.327 Å, b = 4.327 Å, c = 4.327 Å
α = 60.00°, β = 60.00°, γ = 60.00°
Atoms (fractional coordinates):
Cu: 0.000 0.000 0.000
Os: 0.250 0.250 0.250
Os: 0.750 0.750 0.750
Pt: 0.500 0.500 0.500

## Properties
Formation enthalpy at 0 K (eV per atom): 0.58
Size of the total moment (Bohr magnetons per cell): 0.00
Energy relative to the lowest polymorph listed for this composition (eV per atom): 0.4900
Energy (eV per atom): -7.571